# PmNdTm2S4 (PBE-GGA, relaxed)
# Formation energy without anion corrections, kJ/mol of atoms: -192.0
# Uncorrected energy, eV per atom: -6.3610
# Total moment, μB per formula unit: 0.000
data_PmNdTm2S4
_symmetry_space_group_name_H-M 'P 1 2/m 1'
_symmetry_Int_Tables_number 10
_symmetry_space_group_name_Hall '-P 2y'
_cell_length_a 6.759
_cell_length_b 3.880
_cell_length_c 7.007
_cell_angle_alpha 90.00
_cell_angle_beta 108.60
_cell_angle_gamma 90.00
loop_
_atom_site_label
_atom_site_type_symbol
_atom_site_fract_x
_atom_site_fract_y
_atom_site_fract_z
_atom_site_occupancy
Pm1 Pm 0.000 0.000 0.000 1
Nd1 Nd 0.500 0.500 0.000 1
Tm1 Tm 0.000 0.500 0.500 1
Tm2 Tm 0.500 0.000 0.500 1
S1 S 0.241 0.000 0.729 1
S2 S 0.256 0.500 0.270 1



# Pm4NdTm3S8 (PBE-GGA, relaxed)
# Formation energy without anion corrections, kJ/mol of atoms: -191.9
# Uncorrected energy, eV per atom: -6.3771
# Total moment, μB per formula unit: 0.000
data_Pm4NdTm3S8
_symmetry_space_group_name_H-M 'R -3 m'
_symmetry_Int_Tables_number 166
_symmetry_space_group_name_Hall '-R 3 2"'
_cell_length_a 7.9011
_cell_length_b 7.9011
_cell_length_c 19.6386
_cell_angle_alpha 90.00
_cell_angle_beta 90.00
_cell_angle_gamma 120.00
loop_
_atom_site_label
_atom_site_type_symbol
_atom_site_fract_x
_atom_site_fract_y
_atom_site_fract_z
_atom_site_occupancy
Pm1 Pm 0.0000 0.0000 0.0000 1
Pm2 Pm 0.0000 0.5000 0.0000 1
Nd1 Nd 0.0000 0.0000 0.5000 1
Tm1 Tm 0.0000 0.5000 0.5000 1
S1 S 0.0000 0.0000 0.2435 1
S2 S 0.0102 0.5051 0.7542 1



# PmNd2TmS6 (PBE-GGA, relaxed)
# Formation energy without anion corrections, kJ/mol of atoms: -195.3
# Uncorrected energy, eV per atom: -6.3765
# Total moment, μB per formula unit: 0.000
data_PmNd2TmS6
_symmetry_space_group_name_H-M 'R 3'
_symmetry_Int_Tables_number 146
_symmetry_space_group_name_Hall 'R 3'
_cell_length_a 7.0892
_cell_length_b 7.0892
_cell_length_c 18.7032
_cell_angle_alpha 90.00
_cell_angle_beta 90.00
_cell_angle_gamma 120.00
loop_
_atom_site_label
_atom_site_type_symbol
_atom_site_fract_x
_atom_site_fract_y
_atom_site_fract_z
_atom_site_occupancy
Pm1 Pm 0.0000 0.0000 0.0000 1
Nd1 Nd 0.0000 0.0000 0.2909 1
Nd2 Nd 0.0000 0.0000 0.7936 1
Tm1 Tm 0.0000 0.0000 0.4962 1
S1 S 0.0423 0.3535 0.5649 1
S2 S 0.0462 0.6755 0.0665 1



# Pm2NdTm3S6 (PBE-GGA, relaxed)
# Formation energy without anion corrections, kJ/mol of atoms: -192.1
# Uncorrected energy, eV per atom: -6.3614
# Total moment, μB per formula unit: 0.000
data_Pm2NdTm3S6
_symmetry_space_group_name_H-M 'C 1 2/m 1'
_symmetry_Int_Tables_number 12
_symmetry_space_group_name_Hall '-C 2y'
_cell_length_a 17.315
_cell_length_b 3.895
_cell_length_c 8.003
_cell_angle_alpha 90.00
_cell_angle_beta 105.11
_cell_angle_gamma 90.00
loop_
_atom_site_label
_atom_site_type_symbol
_atom_site_fract_x
_atom_site_fract_y
_atom_site_fract_z
_atom_site_occupancy
Pm1 Pm 0.167 0.000 0.333 1
Nd1 Nd 0.000 0.500 0.000 1
Tm1 Tm 0.000 0.500 0.500 1
Tm2 Tm 0.166 0.000 0.833 1
S1 S 0.004 0.000 0.737 1
S2 S 0.163 0.500 0.594 1
S3 S 0.172 0.500 0.073 1



# Pm3Nd4YS8 (PBE-GGA, relaxed)
# Formation energy without anion corrections, kJ/mol of atoms: -194.9
# Uncorrected energy, eV per atom: -6.5708
# Total moment, μB per formula unit: 0.000
data_Pm3Nd4YS8
_symmetry_space_group_name_H-M 'R -3 m'
_symmetry_Int_Tables_number 166
_symmetry_space_group_name_Hall '-R 3 2"'
_cell_length_a 8.0701
_cell_length_b 8.0701
_cell_length_c 19.8215
_cell_angle_alpha 90.00
_cell_angle_beta 90.00
_cell_angle_gamma 120.00
loop_
_atom_site_label
_atom_site_type_symbol
_atom_site_fract_x
_atom_site_fract_y
_atom_site_fract_z
_atom_site_occupancy
Pm1 Pm 0.0000 0.5000 0.0000 1
Nd1 Nd 0.0000 0.0000 0.5000 1
Nd2 Nd 0.0000 0.5000 0.5000 1
Y1 Y 0.0000 0.0000 0.0000 1
S1 S 0.0000 0.0000 0.2512 1
S2 S 0.0056 0.5028 0.7475 1



# PmNd3Y2S6 (PBE-GGA, relaxed)
# Formation energy without anion corrections, kJ/mol of atoms: -195.1
# Uncorrected energy, eV per atom: -6.7511
# Total moment, μB per formula unit: 0.000
data_PmNd3Y2S6
_symmetry_space_group_name_H-M 'C 1 2/m 1'
_symmetry_Int_Tables_number 12
_symmetry_space_group_name_Hall '-C 2y'
_cell_length_a 6.925
_cell_length_b 12.033
_cell_length_c 6.975
_cell_angle_alpha 90.00
_cell_angle_beta 109.37
_cell_angle_gamma 90.00
loop_
_atom_site_label
_atom_site_type_symbol
_atom_site_fract_x
_atom_site_fract_y
_atom_site_fract_z
_atom_site_occupancy
Pm1 Pm 0.000 0.000 0.000 1
Nd1 Nd 0.000 0.164 0.500 1
Nd2 Nd 0.000 0.500 0.500 1
Y1 Y 0.000 0.334 0.000 1
S1 S 0.239 0.500 0.238 1
S2 S 0.250 0.170 0.240 1